# PBE-GGA MgSc2Ag, optimized geometry
data_MgSc2Ag
_chemical_formula_sum 'Mg1 Sc2 Ag1'
_cell_length_a 3.530
_cell_length_b 3.541
_cell_length_c 6.876
_cell_angle_alpha 90.00
_cell_angle_beta 90.00
_cell_angle_gamma 90.00
_symmetry_space_group_name_H-M 'P m m m'
_symmetry_Int_Tables_number 47
loop_
_symmetry_equiv_pos_as_xyz
'x,y,z'
'-x,-y,-z'
'-x,-y,z'
'x,y,-z'
'x,-y,-z'
'-x,y,z'
'-x,y,-z'
'x,-y,z'
loop_
_atom_site_label
_atom_site_type_symbol
_atom_site_fract_x
_atom_site_fract_y
_atom_site_fract_z
Mg1 Mg 0.000 0.000 0.000
Sc1 Sc 0.500 0.500 0.260
Ag1 Ag 0.000 0.000 0.500
# volume = 85.94 Å³ per cell
# calculated formation energy = -59 kJ/mol of formula units
# E = -4.431 eV per atom

=====

# PBE-GGA PmGdAgPb, optimized geometry
data_PmGdAgPb
_chemical_formula_sum 'Pm4 Gd4 Ag4 Pb4'
_cell_length_a 7.600
_cell_length_b 7.600
_cell_length_c 7.600
_cell_angle_alpha 90.00
_cell_angle_beta 90.00
_cell_angle_gamma 90.00
_symmetry_space_group_name_H-M 'F -4 3 m'
_symmetry_Int_Tables_number 216
_symmetry_space_group_name_Hall 'F -4 2 3'
loop_
_atom_site_label
_atom_site_type_symbol
_atom_site_fract_x
_atom_site_fract_y
_atom_site_fract_z
Pm1 Pm 0.000 0.000 0.000
Gd1 Gd 0.000 0.000 0.500
Ag1 Ag 0.250 0.250 0.250
Pb1 Pb 0.250 0.250 0.750
# volume = 438.97 Å³ per cell
# calculated formation energy = -166 kJ/mol of formula units
# E = -6.779 eV per atom